No. 1
DFT (PBE-GGA) results for an optimized crystal structure of Na2HgGeBr6.

Lattice parameters (Å, degrees): 7.3380 7.3354 8.2743 63.69 63.68 59.95
Atoms (fractional coordinates):
Hg  0.2625  0.2605  0.2166
Br  0.2547  0.9098  0.2198
Br  0.0770  0.4552  0.7240
Br  0.9103  0.6154  0.2196
Ge  0.8166  0.8171  0.5494
Br  0.6167  0.2563  0.2182
Br  0.7413  0.0766  0.7260
Na  0.0233  0.0234  0.9293
Na  0.5041  0.5038  0.4883
Br  0.4550  0.7434  0.7241

Computed properties:
E_form (uncorrected) in kJ per mole of atoms: -87.5
Calculated density in g/cm³: 4.00
D(E_F) in states/eV/atom: 0.0000



No. 2
DFT (PBE-GGA) results for an optimized crystal structure of Nd6HgGe2Br3.

Lattice parameters (Å, degrees): 4.3219 8.8381 9.7570 102.55 102.80 90.00
Atoms (fractional coordinates):
Nd  0.9920  0.7511  0.9839
Nd  0.3351  0.8911  0.6701
Br  0.5000  0.5000  0.0000
Ge  0.8329  0.6641  0.6659
Nd  0.0080  0.2489  0.0161
Nd  0.3256  0.4335  0.6513
Nd  0.6649  0.1089  0.3299
Hg  0.5000  0.0000  0.0000
Ge  0.1671  0.3359  0.3341
Nd  0.6744  0.5665  0.3487
Br  0.1679  0.8334  0.3358
Br  0.8321  0.1666  0.6642

Computed properties:
E_form (uncorrected) in kJ per mole of atoms: -98.0
Calculated density in g/cm³: 6.80
D(E_F) in states/eV/atom: 0.5315



No. 3
DFT (PBE-GGA) results for an optimized crystal structure of HgGe2PdBr.

Lattice parameters (Å, degrees): 5.1262 5.6853 5.1262 90.00 90.00 90.00
Atoms (fractional coordinates):
Ge  0.5000  0.0000  0.0000
Ge  0.0000  0.0000  0.5000
Hg  0.0000  0.5000  0.0000
Pd  0.5000  0.5000  0.5000
Br  0.0000  0.0000  0.0000

Computed properties:
E_form (uncorrected) in kJ per mole of atoms: 100.7
Calculated density in g/cm³: 5.92
D(E_F) in states/eV/atom: 0.6829



No. 4
DFT (PBE-GGA) results for an optimized crystal structure of HgGePdBr2.

Lattice parameters (Å, degrees): 5.2792 4.9331 5.2792 90.00 90.00 90.00
Atoms (fractional coordinates):
Hg  0.5000  0.5000  0.5000
Br  0.0000  0.0000  0.5000
Br  0.5000  0.0000  0.0000
Pd  0.0000  0.0000  0.0000
Ge  0.0000  0.5000  0.0000

Computed properties:
E_form (uncorrected) in kJ per mole of atoms: -0.4
Calculated density in g/cm³: 6.52
D(E_F) in states/eV/atom: 0.2239



No. 5
DFT (PBE-GGA) results for an optimized crystal structure of Pr8HgGe3Br4.

Lattice parameters (Å, degrees): 8.7721 8.7986 8.7718 119.90 120.00 90.00
Atoms (fractional coordinates):
Br  0.5000  0.0000  0.0000
Pr  0.2674  0.2737  0.0206
Pr  0.7532  0.2737  0.0206
Pr  0.2468  0.7263  0.4937
Pr  0.2608  0.2825  0.5217
Pr  0.7532  0.2737  0.5063
Br  0.0000  0.0000  0.5000
Ge  0.0000  0.5000  0.5000
Hg  0.0000  0.5000  0.0000
Pr  0.7392  0.7175  0.4783
Pr  0.7326  0.7263  0.9794
Pr  0.2468  0.7263  0.9794
Br  0.5000  0.0000  0.5000
Ge  0.5000  0.5000  0.5000
Ge  0.5000  0.5000  0.0000
Br  0.0000  0.0000  0.0000

Computed properties:
E_form (uncorrected) in kJ per mole of atoms: -101.7
Calculated density in g/cm³: 6.46
D(E_F) in states/eV/atom: 0.5026



No. 6
DFT (PBE-GGA) results for an optimized crystal structure of Pr6HgGe2Br3.

Lattice parameters (Å, degrees): 4.3552 8.9026 9.8322 102.63 102.80 90.00
Atoms (fractional coordinates):
Pr  0.3259  0.4335  0.6519
Br  0.1673  0.8328  0.3347
Ge  0.8329  0.6645  0.6657
Pr  0.3346  0.8919  0.6693
Pr  0.9920  0.7507  0.9840
Pr  0.6741  0.5665  0.3481
Ge  0.1671  0.3355  0.3343
Pr  0.0080  0.2493  0.0160
Br  0.5000  0.5000  0.0000
Br  0.8327  0.1672  0.6653
Hg  0.5000  0.0000  0.0000
Pr  0.6654  0.1081  0.3307

Computed properties:
E_form (uncorrected) in kJ per mole of atoms: -98.9
Calculated density in g/cm³: 6.56
D(E_F) in states/eV/atom: 0.5421